# 1
Material: TmCuSnTe2Se
Method: DFT, PBE
State: optimized geometry

The space group is Cmcm (No. 63) and the conventional cell measures 4.176, 14.390 and 10.437 Å, with angles of 90.00, 90.00 and 90.00 degrees. The asymmetric unit holds Tm at (0.000, 0.000, 0.000), Cu at (0.000, 0.475, 0.250), Sn at (0.000, 0.255, 0.750), Te at (0.000, 0.352, 0.061) and Se at (0.000, 0.073, 0.250).

# 2
Material: YCuSnTe2Se
Method: DFT, PBE
State: optimized geometry

The space group is Cmcm (No. 63) and the conventional cell measures 4.189, 14.381 and 10.561 Å, with angles of 90.00, 90.00 and 90.00 degrees. The asymmetric unit holds Y at (0.000, 0.000, 0.000), Cu at (0.000, 0.475, 0.250), Sn at (0.000, 0.256, 0.750), Te at (0.000, 0.351, 0.064) and Se at (0.000, 0.075, 0.250).

# 3
Material: ZnCu2SnSe4
Method: DFT, PBE
State: optimized geometry

The space group is I-4 (No. 82) and the conventional cell measures 5.754, 5.754 and 11.461 Å, with angles of 90.00, 90.00 and 90.00 degrees. The asymmetric unit holds Zn at (0.000, 0.000, 0.000), Cu at (0.000, 0.000, 0.500), Cu at (0.000, 0.500, 0.250), Sn at (0.000, 0.500, 0.750) and Se at (0.232, 0.740, 0.380).

Per-record total energy, eV/cell: -105.52 -113.96 -59.70